An optimized crystal structure of InSiCl2, computed with PBEsol.

Raw formation energy   -0.297 eV/atom
Symmetry   Immm
M_tot   0.00 Bohr magnetons per cell
Theoretical density   4.034 g/cm³
Total energy   -0.1280 Ha/atom

Cell lengths 5.651, 5.651, 5.651 Å; angles 144.24, 121.99, 70.05 degrees
Positions (direct):
In 0.000 0.000 0.000
Si 0.500 0.500 0.000
Cl 0.300 0.800 0.500
Cl 0.700 0.200 0.500